# Ca2ZnRh (PBE, relaxed)
data_Ca2ZnRh
_chemical_formula_sum 'Ca2 Zn1 Rh1'
_cell_length_a 3.445
_cell_length_b 3.461
_cell_length_c 8.064
_cell_angle_alpha 90.00
_cell_angle_beta 90.00
_cell_angle_gamma 90.00
_symmetry_space_group_name_H-M 'P m m 2'
_symmetry_Int_Tables_number 25
_symmetry_space_group_name_Hall 'P 2 -2'
loop_
_atom_site_label
_atom_site_type_symbol
_atom_site_fract_x
_atom_site_fract_y
_atom_site_fract_z
Ca1 Ca 0.000 0.000 0.000
Ca2 Ca 0.500 0.500 0.400
Zn1 Zn 0.000 0.000 0.642
Rh1 Rh 0.500 0.500 0.764
# Energy of formation ... -0.271 eV/atom
# Magnetization ... 0.00 Bohr magnetons per cell
# Electronic total energy ... -3.428 eV per atom
# Theoretical density ... 4.3 g/cm3